1.
A geometry-optimized ErUFe structure, computed with PBE-GGA.

Calculated formation energy = 0.449 eV per atom
Energy relative to the lowest polymorph listed for this composition = 0 meV per atom
Volume = 64 Å³/f.u.

a = 4.493 Å, b = 4.493 Å, c = 4.493 Å
α = 60.00°, β = 60.00°, γ = 60.00°
Element x y z (fractional)
Er1 0.250 0.250 0.250
Fe1 0.000 0.000 0.000
U1 0.750 0.750 0.750

2.
A geometry-optimized CsTmGeS3 structure, computed with PBE-GGA.

Energy relative to the lowest polymorph listed for this composition = 132 meV per atom
Volume = 178 Å³/f.u.

a = 8.357 Å, b = 8.357 Å, c = 11.210 Å
α = 90.00°, β = 90.00°, γ = 153.02°
Element x y z (fractional)
Cs1 0.211 0.789 0.250
Cs2 0.789 0.211 0.750
Ge1 0.905 0.095 0.250
Ge2 0.095 0.905 0.750
S1 0.888 0.112 0.016
S2 0.503 0.497 0.250
S3 0.888 0.112 0.484
S4 0.112 0.888 0.516
S5 0.497 0.503 0.750
S6 0.112 0.888 0.984
Tm1 0.500 0.500 0.000
Tm2 0.500 0.500 0.500

3.
A geometry-optimized NdSmNi8B2 structure, computed with PBE-GGA.

Energy relative to the lowest polymorph listed for this composition = 0 meV per atom
Volume = 154 Å³/f.u.

a = 5.046 Å, b = 5.046 Å, c = 7.006 Å
α = 90.00°, β = 90.00°, γ = 120.00°
Element x y z (fractional)
B1 0.667 0.333 0.000
B2 0.333 0.667 0.000
Nd1 0.000 0.000 0.500
Ni1 0.500 0.000 0.207
Ni2 0.000 0.500 0.207
Ni3 0.500 0.500 0.207
Ni4 0.667 0.333 0.500
Ni5 0.333 0.667 0.500
Ni6 0.500 0.000 0.793
Ni7 0.000 0.500 0.793
Ni8 0.500 0.500 0.793
Sm1 0.000 0.000 0.000

4.
A geometry-optimized Hg7P4Br6 structure, computed with PBE-GGA.

Volume = 471 Å³/f.u.
Final energy = -0.1655 Ry/atom

a = 6.183 Å, b = 20.282 Å, c = 7.740 Å
α = 90.00°, β = 103.86°, γ = 90.00°
Element x y z (fractional)
Br1 0.813 0.388 0.082
Br2 0.363 0.289 0.207
Br3 0.601 0.980 0.222
Br4 0.399 0.480 0.278
Br5 0.637 0.789 0.293
Br6 0.187 0.888 0.418
Br7 0.813 0.112 0.582
Br8 0.363 0.211 0.707
Br9 0.601 0.520 0.722
Br10 0.399 0.020 0.778
Br11 0.637 0.711 0.793
Br12 0.187 0.612 0.918
Hg1 0.000 0.000 0.000
Hg2 0.782 0.589 0.009
Hg3 0.493 0.137 0.078
Hg4 0.090 0.768 0.189
Hg5 0.910 0.268 0.311
Hg6 0.507 0.637 0.422
Hg7 0.218 0.089 0.491
Hg8 0.000 0.500 0.500
Hg9 0.782 0.911 0.509
Hg10 0.493 0.363 0.578
Hg11 0.090 0.732 0.689
Hg12 0.910 0.232 0.811
Hg13 0.507 0.863 0.922
Hg14 0.218 0.411 0.991
P1 0.877 0.178 0.090
P2 0.143 0.103 0.164
P3 0.857 0.603 0.336
P4 0.123 0.678 0.410
P5 0.877 0.322 0.590
P6 0.143 0.397 0.664
P7 0.857 0.897 0.836
P8 0.123 0.822 0.910